SrN2Cl: optimized geometry, PBE.

CIF file:
```
data_SrN2Cl
_chemical_formula_sum 'Sr4 N8 Cl4'
_cell_length_a 6.636
_cell_length_b 6.636
_cell_length_c 6.636
_cell_angle_alpha 90.00
_cell_angle_beta 90.00
_cell_angle_gamma 90.00
_symmetry_space_group_name_H-M 'F m -3 m'
_symmetry_Int_Tables_number 225
_symmetry_space_group_name_Hall '-F 4 2 3'
loop_
_atom_site_label
_atom_site_type_symbol
_atom_site_fract_x
_atom_site_fract_y
_atom_site_fract_z
_atom_site_occupancy
Sr1 Sr 0.000 0.000 0.000 1
N1 N 0.250 0.250 0.250 1
Cl1 Cl 0.000 0.000 0.500 1
```

Summary:
As for the magnetic moment: 5.0 μB per formula unit. As for the relative energy among the computed polymorphs: 2044 meV/atom. The total energy is -4.023 eV per atom. The raw formation energy is 1022 meV per atom.

Gd2HoSe: optimized geometry, PBE.

CIF file:
```
data_Gd2HoSe
_chemical_formula_sum 'Gd6 Ho3 Se3'
_cell_length_a 3.8077
_cell_length_b 3.8077
_cell_length_c 28.6657
_cell_angle_alpha 90.00
_cell_angle_beta 90.00
_cell_angle_gamma 120.00
_symmetry_space_group_name_H-M 'R -3 m'
_symmetry_Int_Tables_number 166
_symmetry_space_group_name_Hall '-R 3 2"'
loop_
_atom_site_label
_atom_site_type_symbol
_atom_site_fract_x
_atom_site_fract_y
_atom_site_fract_z
_atom_site_occupancy
Gd1 Gd 0.0000 0.0000 0.2329 1
Ho1 Ho 0.0000 0.0000 0.0000 1
Se1 Se 0.0000 0.0000 0.5000 1
```

Summary:
As for the magnetic moment: 15.3 μB per formula unit. The total energy is -9.856 eV per atom. The raw formation energy is -800 meV per atom.

LaPmHo6: optimized geometry, PBE.

CIF file:
```
data_LaPmHo6
_chemical_formula_sum 'La3 Pm3 Ho18'
_cell_length_a 8.6508
_cell_length_b 8.6508
_cell_length_c 13.1954
_cell_angle_alpha 90.00
_cell_angle_beta 90.00
_cell_angle_gamma 120.00
_symmetry_space_group_name_H-M 'R -3 m'
_symmetry_Int_Tables_number 166
_symmetry_space_group_name_Hall '-R 3 2"'
loop_
_atom_site_label
_atom_site_type_symbol
_atom_site_fract_x
_atom_site_fract_y
_atom_site_fract_z
_atom_site_occupancy
La1 La 0.0000 0.0000 0.0000 1
Pm1 Pm 0.0000 0.0000 0.5000 1
Ho1 Ho 0.0904 0.5452 0.3919 1
```

Summary:
As for the magnetic moment: 0.0 μB per formula unit. As for the relative energy among the computed polymorphs: 189 meV/atom. The total energy is -4.085 eV per atom. For the calculated formation energy, the calculation gives 4.47 eV/f.u.